(1)
## InB2N (PBE-GGA)

Data for InB2N after structural relaxation.

* calculated total energy: -5.47 eV/atom
* ΔE_f (raw): 0.63 eV/atom

abc: 4.6411 4.6411 8.1474
angles: 90.00 90.00 90.00
Space group I-42d (No. 122)
Symmetry-distinct sites (fractional):
In  0.0000  0.0000  0.0000 [4 per cell]
B  0.1191  0.2500  0.6250 [8 per cell]
N  0.0000  0.0000  0.5000 [4 per cell]

(2)
## Ti2CuPb (PBE-GGA)

Data for Ti2CuPb after structural relaxation.

* calculated total energy: -5.90 eV/atom
* formation enthalpy at 0 K: 0 meV per atom

abc: 4.0659 4.0659 4.2196
angles: 90.00 90.00 90.00
Space group P4/mmm (No. 123)
Symmetry-distinct sites (fractional):
Ti  0.0000  0.5000  0.0000 [2 per cell]
Cu  0.0000  0.0000  0.5000 [1 per cell]
Pb  0.5000  0.5000  0.5000 [1 per cell]

(3)
## KAl2Co (PBE-GGA)

Data for KAl2Co after structural relaxation.

* calculated total energy: -3.86 eV/atom
* distance to the lowest polymorph of the same formula: 4.0 kJ/mol of atoms
* formation enthalpy at 0 K: 66 meV per atom

abc: 2.7938 4.0070 15.6376
angles: 90.00 90.00 90.00
Space group Imm2 (No. 44)
Symmetry-distinct sites (fractional):
K  0.0000  0.0000  0.0000 [2 per cell]
Al  0.0000  0.0000  0.6756 [2 per cell]
Al  0.0000  0.5000  0.8097 [2 per cell]
Co  0.0000  0.5000  0.2995 [2 per cell]

(4)
## YEr2Zn (PBE-GGA)

Data for YEr2Zn after structural relaxation.

* calculated total energy: -4.28 eV/atom
* distance to the lowest polymorph of the same formula: 9.8 kJ/mol of atoms
* formation enthalpy at 0 K: -65 meV per atom

abc: 3.5869 3.5869 30.4201
angles: 90.00 90.00 120.00
Space group R3m (No. 160, hexagonal axes)
Symmetry-distinct sites (fractional):
Y  0.0000  0.0000  0.0000 [3 per cell]
Er  0.0000  0.0000  0.5716 [3 per cell]
Er  0.0000  0.0000  0.7612 [3 per cell]
Zn  0.0000  0.0000  0.1659 [3 per cell]

(5)
## HoSc4Se6 (PBE-GGA)

Data for HoSc4Se6 after structural relaxation.

* calculated total energy: -6.32 eV/atom
* ΔE_f (raw): -1.70 eV/atom

abc: 3.8464 12.7224 19.9090
angles: 90.00 90.00 90.00
Space group Cmcm (No. 63)
Symmetry-distinct sites (fractional):
Ho  0.0000  0.1518  0.2500 [4 per cell]
Sc  0.0000  0.0922  0.6244 [8 per cell]
Sc  0.0000  0.3578  0.5374 [8 per cell]
Se  0.0000  0.0000  0.0000 [4 per cell]
Se  0.0000  0.1836  0.7500 [4 per cell]
Se  0.0000  0.2682  0.0890 [8 per cell]
Se  0.0000  0.4513  0.6624 [8 per cell]

(6)
## MgBeS2 (PBE-GGA)

Data for MgBeS2 after structural relaxation.

* calculated total energy: -4.55 eV/atom
* distance to the lowest polymorph of the same formula: 2.1 kJ/mol of atoms
* ΔE_f (raw): -1.16 eV/atom

abc: 3.6806 3.6806 5.4585
angles: 90.00 90.00 90.00
Space group P-4m2 (No. 115)
Symmetry-distinct sites (fractional):
Mg  0.0000  0.0000  0.0000 [1 per cell]
Be  0.5000  0.5000  0.5000 [1 per cell]
S  0.0000  0.5000  0.2897 [2 per cell]